(1)
DFT (PBE) results for crystalline KIn2HgPd at its relaxed geometry.

Unit cell a=5.238 b=5.238 c=5.455 alpha=90.00 beta=90.00 gamma=90.00
Space group P4/mmm (No. 123)
Inequivalent atoms, fractional coordinates:
1 K 0.000 0.000 0.000 x1
2 In 0.000 0.500 0.500 x2
3 Hg 0.500 0.500 0.000 x1
4 Pd 0.500 0.500 0.500 x1

Output
**Theoretical density**: 6.39 g/cm3
**Total DFT energy (no corrections)**: -0.0961 hartree per atom
**ΔH_f (0 K)**: -0.201 eV/atom

(2)
DFT (PBE) results for crystalline K2MgPdBr6 at its relaxed geometry.

Unit cell a=7.5231 b=7.5231 c=38.6381 alpha=90.00 beta=90.00 gamma=120.00
Space group R-3m (No. 166, hexagonal axes)
Inequivalent atoms, fractional coordinates:
1 K 0.0000 0.0000 0.1145 x6
2 K 0.0000 0.0000 0.3032 x6
3 Mg 0.0000 0.0000 0.4163 x6
4 Pd 0.0000 0.0000 0.0000 x3
5 Pd 0.0000 0.0000 0.5000 x3
6 Br 0.0006 0.5003 0.2919 x18
7 Br 0.0090 0.5045 0.1251 x18

Output
**Theoretical density**: 3.62 g/cm3
**Total DFT energy (no corrections)**: -0.1122 hartree per atom
**Uncorrected formation energy**: -1150 meV per atom

Look up the total DFT energy (no corrections) of the second one. -0.1122 hartree per atom